# Ca2TiGeI GGA-PBEsol relaxed
# D(E_F) in states/eV/f.u.: 5.754
# Raw formation energy in eV per atom: 0.500
data_Ca2TiGeI
_chemical_formula_sum 'Ca2 Ti1 Ge1 I1'
_space_group_name_H-M_alt 'P 4/m m m'
_space_group_IT_number 123
_space_group_name_Hall '-P 4 2'
_cell_length_a 5.6230
_cell_length_b 5.6230
_cell_length_c 5.6663
_cell_angle_alpha 90.00
_cell_angle_beta 90.00
_cell_angle_gamma 90.00
loop_
_atom_site_label
_atom_site_type_symbol
_atom_site_fract_x
_atom_site_fract_y
_atom_site_fract_z
Ca1 Ca 0.0000 0.5000 0.0000
Ti1 Ti 0.0000 0.0000 0.5000
Ge1 Ge 0.5000 0.5000 0.0000
I1 I 0.5000 0.5000 0.5000


# Ca2InGe2 GGA-PBEsol relaxed
# D(E_F) in states/eV/f.u.: 4.262
# ΔE_f in eV per atom: -0.313
data_Ca2InGe2
_chemical_formula_sum 'Ca4 In2 Ge4'
_space_group_name_H-M_alt 'I 4/m m m'
_space_group_IT_number 139
_space_group_name_Hall '-I 4 2'
_cell_length_a 3.6844
_cell_length_b 3.6844
_cell_length_c 18.7000
_cell_angle_alpha 90.00
_cell_angle_beta 90.00
_cell_angle_gamma 90.00
loop_
_atom_site_label
_atom_site_type_symbol
_atom_site_fract_x
_atom_site_fract_y
_atom_site_fract_z
Ca1 Ca 0.0000 0.0000 0.1129
In1 In 0.0000 0.0000 0.5000
Ge1 Ge 0.0000 0.5000 0.2500


# CaIn2Ge2 GGA-PBEsol relaxed
# D(E_F) in states/eV/f.u.: 1.989
# ΔE_f in eV per atom: -0.143
data_CaIn2Ge2
_chemical_formula_sum 'Ca2 In4 Ge4'
_space_group_name_H-M_alt 'I 4/m m m'
_space_group_IT_number 139
_space_group_name_Hall '-I 4 2'
_cell_length_a 4.9458
_cell_length_b 4.9458
_cell_length_c 10.1862
_cell_angle_alpha 90.00
_cell_angle_beta 90.00
_cell_angle_gamma 90.00
loop_
_atom_site_label
_atom_site_type_symbol
_atom_site_fract_x
_atom_site_fract_y
_atom_site_fract_z
Ca1 Ca 0.0000 0.0000 0.0000
In1 In 0.0000 0.0000 0.3658
Ge1 Ge 0.0000 0.5000 0.2500


# Ca2InGe2 GGA-PBEsol relaxed
# D(E_F) in states/eV/f.u.: 3.148
# ΔE_f in eV per atom: -0.192
data_Ca2InGe2
_chemical_formula_sum 'Ca4 In2 Ge4'
_space_group_name_H-M_alt 'I 4/m m m'
_space_group_IT_number 139
_space_group_name_Hall '-I 4 2'
_cell_length_a 4.9410
_cell_length_b 4.9410
_cell_length_c 11.3271
_cell_angle_alpha 90.00
_cell_angle_beta 90.00
_cell_angle_gamma 90.00
loop_
_atom_site_label
_atom_site_type_symbol
_atom_site_fract_x
_atom_site_fract_y
_atom_site_fract_z
Ca1 Ca 0.0000 0.5000 0.2500
In1 In 0.0000 0.0000 0.0000
Ge1 Ge 0.0000 0.0000 0.3981


# LiCa2InGe2 GGA-PBEsol relaxed
# D(E_F) in states/eV/f.u.: 0.125
# ΔE_f in eV per atom: -0.618
data_LiCa2InGe2
_chemical_formula_sum 'Li4 Ca8 In4 Ge8'
_space_group_name_H-M_alt 'P n m a'
_space_group_IT_number 62
_space_group_name_Hall '-P 2ac 2n'
_cell_length_a 7.1581
_cell_length_b 4.3963
_cell_length_c 16.6734
_cell_angle_alpha 90.00
_cell_angle_beta 90.00
_cell_angle_gamma 90.00
loop_
_atom_site_label
_atom_site_type_symbol
_atom_site_fract_x
_atom_site_fract_y
_atom_site_fract_z
Li1 Li 0.0124 0.2500 0.0677
Ca1 Ca 0.0096 0.2500 0.7792
Ca2 Ca 0.1574 0.2500 0.5622
In1 In 0.1589 0.2500 0.3471
Ge1 Ge 0.2249 0.7500 0.6859
Ge2 Ge 0.2272 0.2500 0.9374


# CaGe3Ir GGA-PBEsol relaxed
# D(E_F) in states/eV/f.u.: 4.196
# ΔE_f in eV per atom: 1.850
data_CaGe3Ir
_chemical_formula_sum 'Ca1 Ge3 Ir1'
_space_group_name_H-M_alt 'P m -3 m'
_space_group_IT_number 221
_space_group_name_Hall '-P 4 2 3'
_cell_length_a 4.9277
_cell_length_b 4.9277
_cell_length_c 4.9277
_cell_angle_alpha 90.00
_cell_angle_beta 90.00
_cell_angle_gamma 90.00
loop_
_atom_site_label
_atom_site_type_symbol
_atom_site_fract_x
_atom_site_fract_y
_atom_site_fract_z
Ca1 Ca 0.0000 0.0000 0.0000
Ge1 Ge 0.0000 0.0000 0.5000
Ir1 Ir 0.5000 0.5000 0.5000